First-principles (GGA-PBE) data for a geometry-optimized Na2InAuBr6 structure, as listed in the Alexandria database.

Cell: 7.3339 7.4594 7.9115 Å, 62.68 65.31 61.38°
Space group P1 (No. 1)
Asymmetric unit:
1 Na 0.0000 0.0000 0.0000 x1
2 Na 0.4354 0.4840 0.5780 x1
3 In 0.6549 0.6751 0.9553 x1
4 Au 0.2304 0.1094 0.2374 x1
5 Br 0.0186 0.7532 0.7793 x1
6 Br 0.3103 0.5786 0.2151 x1
7 Br 0.4167 0.0408 0.7400 x1
8 Br 0.6031 0.8696 0.2329 x1
9 Br 0.7577 0.4243 0.7521 x1
10 Br 0.8477 0.2829 0.2580 x1

Calculated values
magnetization = 0.0 μB/f.u.
formation energy from raw total energies = -9.42 eV per formula unit
total energy = -2.811 eV/atom

***

First-principles (GGA-PBE) data for a geometry-optimized MgTaVCr2 structure, as listed in the Alexandria database.

Cell: 4.5512 4.5512 5.1432 Å, 90.00 90.00 90.00°
Space group P4/mmm (No. 123)
Asymmetric unit:
1 Mg 0.0000 0.0000 0.0000 x1
2 Ta 0.0000 0.0000 0.5000 x1
3 V 0.5000 0.5000 0.0000 x1
4 Cr 0.0000 0.5000 0.5000 x2

Calculated values
magnetization = 4.5 μB/f.u.
total energy = -6.544 eV/atom
energy of formation from the pure elements = 9.09 eV per formula unit